Computed, not measured: a relaxed structure of LiLa2IrAu at the GGA-PBE level of DFT.

Its symmetry is P4/nmm (129). The calculated total energy comes out at -5.447 eV/atom. The spin magnetization comes out at 0.0 μB/cell. The density of states at the Fermi level is 0.597 states/eV/atom. The calculation puts the distance to the lowest polymorph of the same formula at 0 meV per atom.

Cell lengths 4.2193, 4.2193, 14.2948 Å; angles 90.00, 90.00, 90.00 degrees
Fractional coordinates of all 10 atoms:
Ir 0.5000 0.0000 0.1102
Ir 0.0000 0.5000 0.8898
Au 0.0000 0.5000 0.3717
Au 0.5000 0.0000 0.6283
La 0.0000 0.5000 0.1018
La 0.0000 0.5000 0.7026
La 0.5000 0.0000 0.2974
La 0.5000 0.0000 0.8982
Li 0.5000 0.5000 0.5000
Li 0.0000 0.0000 0.5000